No. 1
First-principles (GGA-PBE) data for crystalline AcNiIr at its relaxed geometry, as listed in Alexandria via LeMat-Bulk.

Summary:
The formation energy is -10.80 kcal/mol of atoms.

Cell and atoms, written as CIF:
```
data_AcNiIr
_cell_length_a 4.2385
_cell_length_b 4.2385
_cell_length_c 4.2653
_cell_angle_alpha 90.00
_cell_angle_beta 90.00
_cell_angle_gamma 120.00
_space_group_name_H-M_alt 'P -6 m 2'
_space_group_IT_number 187
_space_group_name_Hall 'P -6 2'
loop_
_atom_site_label
_atom_site_type_symbol
_atom_site_fract_x
_atom_site_fract_y
_atom_site_fract_z
Ac1 Ac 0.0000 0.0000 0.0000
Ni1 Ni 0.6667 0.3333 0.5000
Ir1 Ir 0.3333 0.6667 0.5000
```

***

No. 2
First-principles (GGA-PBE) data for crystalline Ac2PtO5 at its relaxed geometry, as listed in Alexandria via LeMat-Bulk.

Summary:
For the formation energy from raw total energies, the calculation gives -2.070 eV per atom.

Cell and atoms, written as CIF:
```
data_Ac2PtO5
_cell_length_a 5.8415
_cell_length_b 5.8415
_cell_length_c 7.2781
_cell_angle_alpha 90.00
_cell_angle_beta 90.00
_cell_angle_gamma 90.00
_space_group_name_H-M_alt 'I 4 m m'
_space_group_IT_number 107
_space_group_name_Hall 'I 4 -2'
loop_
_atom_site_label
_atom_site_type_symbol
_atom_site_fract_x
_atom_site_fract_y
_atom_site_fract_z
Ac1 Ac 0.0000 0.5000 0.0000
Pt1 Pt 0.0000 0.0000 0.2693
O1 O 0.0000 0.0000 0.0037
O2 O 0.2444 0.2444 0.2613
```

***

No. 3
First-principles (GGA-PBE) data for crystalline KZn2SnPt at its relaxed geometry, as listed in Alexandria via LeMat-Bulk.

Summary:
The formation energy is -4.85 kcal/mol of atoms.

Cell and atoms, written as CIF:
```
data_KZn2SnPt
_cell_length_a 5.0103
_cell_length_b 5.0103
_cell_length_c 5.2103
_cell_angle_alpha 90.00
_cell_angle_beta 90.00
_cell_angle_gamma 90.00
_space_group_name_H-M_alt 'P 4/m m m'
_space_group_IT_number 123
_space_group_name_Hall '-P 4 2'
loop_
_atom_site_label
_atom_site_type_symbol
_atom_site_fract_x
_atom_site_fract_y
_atom_site_fract_z
K1 K 0.0000 0.0000 0.0000
Zn1 Zn 0.0000 0.5000 0.5000
Sn1 Sn 0.5000 0.5000 0.0000
Pt1 Pt 0.5000 0.5000 0.5000
```

***

| no. | theoretical density (Mg/m³) |
| --- | --- |
| 1 | 12.0 |
| 2 | 9.7 |
| 3 | 6.1 |